Material: HoAuC
Method: DFT, PBE
State: relaxed

a b c (Å): 3.4279 3.4279 10.1267
angles (deg): 80.26 80.26 60.00
Last column: nearest neighbours and their distance in Å.
Positions (direct):
Au1 0.2972 0.2972 0.1085  3 Au 2.93, 3 Ho 2.98
Au2 0.7028 0.7028 0.8915  3 Au 2.93, 3 Ho 2.98
C1 0.1650 0.1650 0.5049  3 C 1.98
C2 0.8350 0.8350 0.4951  3 C 1.98
Ho1 0.4442 0.4442 0.6675  6 C 2.55-2.62
Ho2 0.5558 0.5558 0.3325  6 C 2.55-2.62

Values from the calculation:
- total magnetization (Bohr magnetons per cell) = 0.0
- energy (eV/atom) = -5.591
- DFT formation energy (eV per formula unit) = 0.3
- SG = R-3m (166)
- crystal system = trigonal